1.
Compound: TaSiB
Source: OQMD via LeMat-Bulk
Functional: GGA-PBE
Structure: optimized geometry

POSCAR file:
```
TaSiB
1.0
5.388 0.000 0.000
0.000 5.388 0.000
0.000 0.000 5.388
Ta Si B
4 4 4
direct
0.000 0.000 0.000
0.000 0.500 0.500
0.500 0.000 0.500
0.500 0.500 0.000
0.000 0.000 0.500
0.000 0.500 0.000
0.500 0.000 0.000
0.500 0.500 0.500
0.250 0.250 0.750
0.250 0.750 0.250
0.750 0.250 0.250
0.750 0.750 0.750
```

Properties
SG: No. 216

=====

2.
Compound: TaSiB4
Source: OQMD via LeMat-Bulk
Functional: GGA-PBE
Structure: optimized geometry

POSCAR file:
```
TaSiB4
1.0
2.955 0.000 0.000
0.000 5.339 0.000
0.000 0.000 6.889
Ta Si B
2 2 8
direct
0.000 0.000 0.000
0.500 0.500 0.500
0.000 0.000 0.500
0.500 0.500 0.000
0.000 0.338 0.238
0.000 0.338 0.762
0.000 0.662 0.238
0.000 0.662 0.762
0.500 0.162 0.262
0.500 0.162 0.738
0.500 0.838 0.262
0.500 0.838 0.738
```

Properties
SG: No. 71

=====

What E above lowest polymorph values result from the calculations? In sequence: 0.0 0.7 kJ per mole of atoms.
What M_tot values result from the calculations? In sequence: 0.0 0.0 μB/f.u..